[1]
# PBE PmSmEr5Th2, relaxed
data_PmSmEr5Th2
_space_group_name_H-M_alt 'I 4/m c m'
_space_group_IT_number 140
_space_group_name_Hall '-I 4 2c'
_cell_length_a 8.837
_cell_length_b 8.837
_cell_length_c 15.185
_cell_angle_alpha 90.00
_cell_angle_beta 90.00
_cell_angle_gamma 90.00
loop_
_atom_site_label
_atom_site_type_symbol
_atom_site_fract_x
_atom_site_fract_y
_atom_site_fract_z
Pm1 Pm 0.000 0.000 0.250
Sm1 Sm 0.000 0.500 0.250
Er1 Er 0.000 0.000 0.000
Er2 Er 0.207 0.293 0.138
Th1 Th 0.119 0.381 0.500
# DOS(E_F)	1.41	states/eV per atom
# formation energy from the elements	0.330	eV/atom

[2]
# PBE Pm2Sm6ErTh, relaxed
data_Pm2Sm6ErTh
_space_group_name_H-M_alt 'C 1 2/c 1'
_space_group_IT_number 15
_cell_length_a 9.205
_cell_length_b 15.023
_cell_length_c 9.888
_cell_angle_alpha 90.00
_cell_angle_beta 99.26
_cell_angle_gamma 90.00
loop_
_space_group_symop_operation_xyz
'x,y,z'
'-x,-y,-z'
'-x,y,-z+1/2'
'x,-y,z+1/2'
'x+1/2,y+1/2,z'
'-x+1/2,-y+1/2,-z'
'-x+1/2,y+1/2,-z+1/2'
'x+1/2,-y+1/2,z+1/2'
loop_
_atom_site_label
_atom_site_type_symbol
_atom_site_fract_x
_atom_site_fract_y
_atom_site_fract_z
Pm1 Pm 0.243 0.047 0.046
Sm1 Sm 0.070 0.184 0.444
Sm2 Sm 0.098 0.396 0.620
Sm3 Sm 0.204 0.219 0.812
Er1 Er 0.000 0.406 0.250
Th1 Th 0.000 0.020 0.750
# DOS(E_F)	1.44	states/eV per atom
# formation energy from the elements	0.147	eV/atom

[3]
# PBE PmSm2ErTh, relaxed
data_PmSm2ErTh
_space_group_name_H-M_alt 'P 1 2/c 1'
_space_group_IT_number 13
_cell_length_a 8.603
_cell_length_b 6.417
_cell_length_c 6.368
_cell_angle_alpha 90.00
_cell_angle_beta 97.34
_cell_angle_gamma 90.00
loop_
_space_group_symop_operation_xyz
'x,y,z'
'-x,-y,-z'
'-x,y,-z+1/2'
'x,-y,z+1/2'
loop_
_atom_site_label
_atom_site_type_symbol
_atom_site_fract_x
_atom_site_fract_y
_atom_site_fract_z
Pm1 Pm 0.000 0.000 0.000
Sm1 Sm 0.314 0.308 0.210
Er1 Er 0.500 0.175 0.750
Th1 Th 0.000 0.451 0.750
# DOS(E_F)	1.28	states/eV per atom
# formation energy from the elements	0.318	eV/atom

Among the records above, which one has the highest formation energy from the elements?
PmSmEr5Th2

DOS(E_F) of number 3 (PmSm2ErTh)?
1.28 states/eV per atom